VASP calculation (PBE) on a relaxed structure of NpAgSe3.

Values from the calculation:
Magnetic moment in μB/f.u.: 2.01
Energy relative to the elements, uncorrected in eV per atom: -0.579

a = 4.337 Å, b = 17.177 Å, c = 7.080 Å
α = 90.00°, β = 90.00°, γ = 90.00°
Space group Cmcm (No. 63)
Symmetry-distinct sites (fractional):
1 Np 0.000 0.195 0.250
2 Ag 0.000 0.454 0.250
3 Se 0.000 0.037 0.250
4 Se 0.000 0.330 0.002